1.
## SmScTe2 (GGA-PBE)

Data for a relaxed SmScTe2 crystal.

Cell: 4.1844 4.1844 7.8267 Å, 74.50 74.50 60.00°
With the nearest neighbours (Å) after each atom.
Fractional coordinates of all 4 atoms:
Te: 0.0754 0.0754 0.7739  3 Sc 2.90, 3 Sm 3.12
Te: 0.2571 0.2571 0.2286  3 Sc 3.00, 3 Sm 3.19
Sc: 0.6704 0.6704 0.9888  6 Te 2.90-3.00
Sm: 0.4971 0.4971 0.5086  6 Te 3.12-3.19

Properties
The calculation puts the magnetization at 0.000 μB/f.u. As for the formation energy (no corrections): -1274 meV/atom. As for the offset from the most stable computed form: 0.001 eV per atom. As for the density of states at the Fermi level: 0.441 states/eV per atom.

=====

2.
## Sm2ScTe4 (GGA-PBE)

Data for a relaxed Sm2ScTe4 crystal.

Cell: 4.1815 7.5683 15.0018 Å, 90.00 90.00 106.04°
With the nearest neighbours (Å) after each atom.
Fractional coordinates of all 14 atoms:
Te: 0.5000 0.0000 0.5000  4 Sm 3.05
Te: 0.7845 0.5690 0.1263  2 Sc 3.04, 3 Sm 3.14-3.25
Te: 0.2155 0.4310 0.6263  2 Sc 3.04, 3 Sm 3.14-3.25
Te: 0.7845 0.5690 0.3737  2 Sc 3.04, 3 Sm 3.14-3.25
Te: 0.2155 0.4310 0.8737  2 Sc 3.04, 3 Sm 3.14-3.25
Te: 0.0150 0.0299 0.2500  2 Sc 3.00, 2 Sm 3.14
Te: 0.5000 0.0000 0.0000  4 Sm 3.05
Te: 0.9850 0.9701 0.7500  2 Sc 3.00, 2 Sm 3.14
Sc: 0.6331 0.2663 0.7500  6 Te 3.00-3.04
Sc: 0.3669 0.7337 0.2500  6 Te 3.00-3.04
Sm: 0.8678 0.7357 0.9255  6 Te 3.05-3.25
Sm: 0.1322 0.2643 0.0745  6 Te 3.05-3.25
Sm: 0.1322 0.2643 0.4255  6 Te 3.05-3.25
Sm: 0.8678 0.7357 0.5745  6 Te 3.05-3.25

Properties
The calculation puts the magnetization at 0.000 μB/f.u. As for the formation energy (no corrections): -1260 meV/atom. As for the offset from the most stable computed form: 0.086 eV per atom. As for the density of states at the Fermi level: 0.459 states/eV per atom.

=====

3.
## SmScTe2 (GGA-PBE)

Data for a relaxed SmScTe2 crystal.

Cell: 4.1863 4.1863 7.4951 Å, 89.99 90.00 120.00°
With the nearest neighbours (Å) after each atom.
Fractional coordinates of all 4 atoms:
Sc: 0.0000 0.5000 0.0000  6 Te 2.96
Te: 0.3333 0.1666 0.2289  3 Sc 2.96, 3 Sm 3.16
Te: 0.6667 0.8334 0.7711  3 Sc 2.96, 3 Sm 3.16
Sm: 0.0000 0.5000 0.5000  6 Te 3.16

Properties
The calculation puts the magnetization at 0.000 μB/f.u. As for the formation energy (no corrections): -1276 meV/atom. As for the offset from the most stable computed form: 0.000 eV per atom. As for the density of states at the Fermi level: 0.674 states/eV per atom.

=====

4.
## Sm2ScTe3 (GGA-PBE)

Data for a relaxed Sm2ScTe3 crystal.

Cell: 4.3415 6.1657 7.5630 Å, 114.06 106.68 90.00°
With the nearest neighbours (Å) after each atom.
Fractional coordinates of all 6 atoms:
Sm: 0.8242 0.8242 0.1484  6 Te 3.10-3.17
Sm: 0.1758 0.1758 0.8516  6 Te 3.10-3.17
Sc: 0.5000 0.5000 0.5000  6 Te 2.95-3.08
Te: 0.5000 0.0000 0.5000  2 Sc 3.08, 4 Sm 3.17
Te: 0.1524 0.6524 0.8047  2 Sc 2.95, 4 Sm 3.10-3.13
Te: 0.8476 0.3476 0.1953  2 Sc 2.95, 4 Sm 3.10-3.13

Properties
The calculation puts the magnetization at 0.000 μB/f.u. As for the formation energy (no corrections): -1274 meV/atom. As for the density of states at the Fermi level: 0.625 states/eV per atom.

=====

5.
## SmSc2Te4 (GGA-PBE)

Data for a relaxed SmSc2Te4 crystal.

Cell: 4.2179 7.2870 8.3940 Å, 116.06 104.55 90.00°
With the nearest neighbours (Å) after each atom.
Fractional coordinates of all 7 atoms:
Sc: 0.7481 0.7663 0.4961  6 Te 2.91-3.01
Sc: 0.2519 0.2337 0.5039  6 Te 2.91-3.01
Te: 0.3627 0.6942 0.7254  3 Sc 3.00-3.01, 2 Sm 3.14
Te: 0.6373 0.3058 0.2746  3 Sc 3.00-3.01, 2 Sm 3.14
Te: 0.1293 0.7889 0.2585  3 Sc 2.91-2.94, 1 Sm 3.12
Te: 0.8707 0.2111 0.7415  3 Sc 2.91-2.94, 1 Sm 3.12
Sm: 0.0000 0.0000 0.0000  6 Te 3.12-3.14

Properties
The calculation puts the magnetization at 0.000 μB/f.u. As for the formation energy (no corrections): -1288 meV/atom. As for the offset from the most stable computed form: 0.000 eV per atom. As for the density of states at the Fermi level: 0.513 states/eV per atom.

=====

6.
## Sm2ThScTe4 (GGA-PBE)

Data for a relaxed Sm2ThScTe4 crystal.

Cell: 4.3613 7.6995 7.5540 Å, 109.18 90.00 90.00°
With the nearest neighbours (Å) after each atom.
Fractional coordinates of all 8 atoms:
Te: 0.0000 0.2384 0.7540  1 Sc 3.01, 3 Sm 3.08-3.21, 2 Th 3.13
Te: 0.0000 0.7616 0.2460  1 Sc 3.01, 3 Sm 3.08-3.21, 2 Th 3.13
Te: 0.5000 0.7668 0.7638  2 Sc 3.01, 3 Sm 3.09-3.20, 1 Th 3.13
Te: 0.5000 0.2332 0.2362  2 Sc 3.01, 3 Sm 3.09-3.20, 1 Th 3.13
Sm: 0.5000 0.0000 0.5000  6 Te 3.08-3.09
Sm: 0.0000 0.5000 0.5000  6 Te 3.20-3.21
Sc: 0.0000 0.0000 0.0000  6 Te 3.01
Th: 0.5000 0.5000 0.0000  6 Te 3.13

Properties
The calculation puts the magnetization at 0.000 μB/f.u. As for the formation energy (no corrections): -1192 meV/atom. As for the density of states at the Fermi level: 0.721 states/eV per atom.

=====

The calculation returns the following final energy values, one per record and in order: -5.608, -5.308, -5.609, -5.473, -5.566, -5.661 eV/atom.